Below is TaMo at its PBEsol-relaxed geometry, with properties calculated at the meta-GGA SCAN level.

Output
ΔH_f (0 K) (meV per atom): -122

a b c (Å): 2.801 2.801 4.440
angles (deg): 90.00 90.00 110.39
Fractional positions:
Mo 0.000 0.000 0.000
Ta 0.500 0.500 0.500

Below is BeCdTc at its PBEsol-relaxed geometry, with properties calculated at the meta-GGA SCAN level.

Output
ΔH_f (0 K) (meV per atom): 300
Energy relative to the lowest polymorph listed for this composition (meV/atom): 0.0

a b c (Å): 2.667 2.667 6.403
angles (deg): 98.53 98.53 106.70
Fractional positions:
Cd 0.659 0.659 0.319
Be 0.988 0.988 0.976
Tc 0.352 0.352 0.705

Below is SbIr at its PBEsol-relaxed geometry, with properties calculated at the meta-GGA SCAN level.

Output
Uncorrected formation energy (meV/atom): 485.6

a b c (Å): 3.932 3.932 5.398
angles (deg): 111.36 111.36 90.00
Fractional positions:
Ir 0.000 0.000 0.000
Ir 0.250 0.750 0.500
Sb 0.750 0.250 0.500
Sb 0.500 0.500 0.000

Below is Mg2CdAs at its PBEsol-relaxed geometry, with properties calculated at the meta-GGA SCAN level.

Output
ΔH_f (0 K) (meV per atom): -239
Energy relative to the lowest polymorph listed for this composition (meV/atom): 21.9

a b c (Å): 3.369 4.120 6.816
angles (deg): 107.59 104.31 90.00
Fractional positions:
Cd 0.198 0.698 0.395
As 0.477 0.477 0.955
Mg 0.023 0.023 0.046
Mg 0.802 0.302 0.604

Below is NiPtAu2 at its PBEsol-relaxed geometry, with properties calculated at the meta-GGA SCAN level.

Output
ΔH_f (0 K) (meV per atom): -8
Energy relative to the lowest polymorph listed for this composition (meV/atom): 0.0

a b c (Å): 2.783 2.783 7.672
angles (deg): 90.00 90.00 90.00
Last column: magnetic moment on the atom in μB.
Fractional positions:
Au 0.000 0.000 0.993  0.00
Ni 0.000 0.000 0.509  0.99
Pt 0.500 0.500 0.722  0.29
Au 0.500 0.500 0.275  0.01

Below is YZnPt2 at its PBEsol-relaxed geometry, with properties calculated at the meta-GGA SCAN level.

Output
ΔH_f (0 K) (meV per atom): -938

a b c (Å): 3.954 3.954 5.158
angles (deg): 112.54 112.54 90.00
Fractional positions:
Zn 0.750 0.250 0.500
Pt 0.250 0.750 0.500
Pt 0.000 0.000 0.000
Y 0.500 0.500 0.000

Below is MnPbCl at its PBEsol-relaxed geometry, with properties calculated at the meta-GGA SCAN level.

Output
Uncorrected formation energy (meV/atom): -495.6
Energy relative to the lowest polymorph listed for this composition (meV/atom): 0.0

a b c (Å): 3.285 3.285 7.378
angles (deg): 97.56 97.56 114.17
Last column: magnetic moment on the atom in μB.
Fractional positions:
Pb 0.309 0.309 0.618  -0.09
Mn 0.650 0.650 0.300  4.22
Cl 0.041 0.041 0.082  0.08

Below is BeReBr at its PBEsol-relaxed geometry, with properties calculated at the meta-GGA SCAN level.

Output
Uncorrected formation energy (meV/atom): 990.8

a b c (Å): 2.888 2.888 6.255
angles (deg): 97.04 97.04 117.97
Fractional positions:
Be 0.000 0.000 0.999
Re 0.647 0.647 0.293
Br 0.354 0.354 0.707

Below is KMg2Te at its PBEsol-relaxed geometry, with properties calculated at the meta-GGA SCAN level.

Output
Uncorrected formation energy (meV/atom): -153.2

a b c (Å): 3.995 3.995 7.687
angles (deg): 90.00 90.00 90.00
Fractional positions:
Mg 0.000 0.000 0.192
Te 0.500 0.500 0.000
Mg 0.000 0.000 0.808
K 0.500 0.500 0.500

Below is TaAuNF2 at its PBEsol-relaxed geometry, with properties calculated at the meta-GGA SCAN level.

Output
Uncorrected formation energy (meV/atom): -1082.7

a b c (Å): 4.045 4.057 4.057
angles (deg): 90.00 90.00 90.00
Fractional positions:
F 0.000 0.500 0.000
N 0.500 0.000 0.000
F 0.000 0.000 0.500
Ta 0.000 0.000 0.000
Au 0.500 0.500 0.500

Below is LiCdAg at its PBEsol-relaxed geometry, with properties calculated at the meta-GGA SCAN level.

Output
ΔH_f (0 K) (meV per atom): -212
Energy relative to the lowest polymorph listed for this composition (meV/atom): 0.0

a b c (Å): 2.944 3.967 5.019
angles (deg): 113.28 107.05 90.00
Fractional positions:
Cd 0.667 0.667 0.334
Ag 0.995 0.995 0.991
Li 0.338 0.338 0.675

Below is LiPb at its PBEsol-relaxed geometry, with properties calculated at the meta-GGA SCAN level.

Output
ΔH_f (0 K) (meV per atom): -307

a b c (Å): 3.363 3.363 4.658
angles (deg): 90.00 90.00 120.00
Fractional positions:
Li 0.000 0.000 0.000
Pb 0.333 0.667 0.500